Entry 1:
Entry from Alexandria via LeMat-Bulk: an optimized crystal structure of BaAl2Cd (GGA-PBEsol).

As for the density of states at the Fermi level: 1.755 states/eV/f.u. For the density, the calculation gives 5.05 Mg/m³. For the calculated volume, the calculation gives 100.0 Å³ per cell. The formation energy is -0.01 eV per atom.

The space group is Pmmm (No. 47) and the conventional cell measures 3.238, 4.092 and 7.543 Å, with angles of 90.00, 90.00 and 90.00 degrees. Symmetry generates all atoms from Ba at (0.000, 0.000, 0.000), Al at (0.500, 0.500, 0.317) and Cd at (0.000, 0.000, 0.500).

Entry 2:
Entry from Alexandria via LeMat-Bulk: an optimized crystal structure of Mg2Ag3 (GGA-PBEsol).

As for the density of states at the Fermi level: 1.302 states/eV/f.u. For the density, the calculation gives 6.94 Mg/m³. For the calculated volume, the calculation gives 178.1 Å³ per cell. The formation energy is -0.12 eV per atom. As for the energy above the most stable polymorph in this dataset: 89.8 meV per atom.

The space group is Immm (No. 71) and the conventional cell measures 3.059, 3.935 and 14.794 Å, with angles of 90.00, 90.00 and 90.00 degrees. Symmetry generates all atoms from Mg at (0.000, 0.000, 0.189), Ag at (0.000, 0.000, 0.000) and Ag at (0.000, 0.000, 0.401).

Entry 3:
Entry from Alexandria via LeMat-Bulk: an optimized crystal structure of Li3PbF (GGA-PBEsol).

As for the density of states at the Fermi level: 1.279 states/eV/f.u. For the density, the calculation gives 5.55 Mg/m³. For the calculated volume, the calculation gives 73.9 Å³ per cell. The value obtained for the formation energy from raw total energies is -6.18 eV per formula unit.

The space group is Pm-3m (No. 221) and the conventional cell measures 4.196, 4.196 and 4.196 Å, with angles of 90.00, 90.00 and 90.00 degrees. Symmetry generates all atoms from Li at (0.000, 0.000, 0.500), Pb at (0.500, 0.500, 0.500) and F at (0.000, 0.000, 0.000).

Entry 4:
Entry from Alexandria via LeMat-Bulk: an optimized crystal structure of LiCoPO4 (GGA-PBEsol).

As for the density of states at the Fermi level: 4.169 states/eV/f.u. For the density, the calculation gives 3.88 Mg/m³. For the calculated volume, the calculation gives 275.3 Å³ per cell. As for the energy above the most stable polymorph in this dataset: 5.2 meV per atom. The value obtained for the formation energy from raw total energies is -12.93 eV per formula unit.

The space group is Pnma (No. 62) and the conventional cell measures 10.086, 5.841 and 4.673 Å, with angles of 90.00, 90.00 and 90.00 degrees. Symmetry generates all atoms from Li at (0.000, 0.000, 0.000), Co at (0.223, 0.250, 0.485), P at (0.095, 0.750, 0.426), O at (0.046, 0.250, 0.705), O at (0.095, 0.750, 0.753) and O at (0.170, 0.541, 0.289).

Entry 5:
Entry from Alexandria via LeMat-Bulk: an optimized crystal structure of Cr2BN (GGA-PBEsol).

As for the density of states at the Fermi level: 2.681 states/eV/f.u. For the density, the calculation gives 6.63 Mg/m³. For the calculated volume, the calculation gives 129.0 Å³ per cell. The value obtained for the formation energy from raw total energies is 1.03 eV per formula unit.

The space group is Fm-3m (No. 225) and the conventional cell measures 5.052, 5.052 and 5.052 Å, with angles of 90.00, 90.00 and 90.00 degrees. Symmetry generates all atoms from Cr at (0.250, 0.250, 0.250), B at (0.000, 0.000, 0.000) and N at (0.000, 0.000, 0.500).

Entry 6:
Entry from Alexandria via LeMat-Bulk: an optimized crystal structure of LaHgPt2 (GGA-PBEsol).

As for the density of states at the Fermi level: 3.218 states/eV/f.u. For the density, the calculation gives 15.65 Mg/m³. For the calculated volume, the calculation gives 232.3 Å³ per cell. The formation energy is 0.02 eV per atom.

The space group is R3m (No. 160, hexagonal axes) and the conventional cell measures 3.0228, 3.0228 and 29.3532 Å, with angles of 90.00, 90.00 and 120.00 degrees. Symmetry generates all atoms from La at (0.0000, 0.0000, 0.0000), Hg at (0.0000, 0.0000, 0.2364), Pt at (0.0000, 0.0000, 0.4927) and Pt at (0.0000, 0.0000, 0.7512).

Entry 7:
Entry from Alexandria via LeMat-Bulk: an optimized crystal structure of CdIrRh2 (GGA-PBEsol).

As for the density of states at the Fermi level: 3.700 states/eV/f.u. For the density, the calculation gives 14.32 Mg/m³. For the calculated volume, the calculation gives 59.2 Å³ per cell. The formation energy is -0.03 eV per atom.

The space group is P4/mmm (No. 123) and the conventional cell measures 2.750, 2.750 and 7.825 Å, with angles of 90.00, 90.00 and 90.00 degrees. Symmetry generates all atoms from Cd at (0.000, 0.000, 0.000), Ir at (0.000, 0.000, 0.500) and Rh at (0.500, 0.500, 0.270).

Entry 8:
Entry from Alexandria via LeMat-Bulk: an optimized crystal structure of Be2CoSi (GGA-PBEsol).

As for the density of states at the Fermi level: 3.078 states/eV/f.u. For the density, the calculation gives 4.06 Mg/m³. For the calculated volume, the calculation gives 171.7 Å³ per cell. The value obtained for the formation energy from raw total energies is 1.46 eV per formula unit.

The space group is I-42d (No. 122) and the conventional cell measures 6.250, 6.250 and 4.395 Å, with angles of 90.00, 90.00 and 90.00 degrees. Symmetry generates all atoms from Be at (0.224, 0.750, 0.125), Co at (0.000, 0.000, 0.000) and Si at (0.000, 0.000, 0.500).

Entry 9:
Entry from Alexandria via LeMat-Bulk: an optimized crystal structure of Gd2P4O13 (GGA-PBEsol).

As for the density of states at the Fermi level: 0.000 states/eV/f.u. For the density, the calculation gives 3.99 Mg/m³. For the calculated volume, the calculation gives 1076.6 Å³ per cell. As for the energy above the most stable polymorph in this dataset: 0.0 meV per atom. The value obtained for the formation energy from raw total energies is -50.96 eV per formula unit.

The space group is C222_1 (No. 20) and the conventional cell measures 7.099, 17.545 and 8.643 Å, with angles of 90.00, 90.00 and 90.00 degrees. Symmetry generates all atoms from Gd at (0.249, 0.146, 0.354), P at (0.213, 0.064, 0.728), P at (0.240, 0.341, 0.499), O at (0.000, 0.090, 0.750), O at (0.078, 0.343, 0.616), O at (0.080, 0.149, 0.097), O at (0.205, 0.416, 0.394), O at (0.209, 0.385, 0.104), O at (0.231, 0.020, 0.294) and O at (0.243, 0.272, 0.394).

Entry 10:
Entry from Alexandria via LeMat-Bulk: an optimized crystal structure of MoOs5 (GGA-PBEsol).

As for the density of states at the Fermi level: 4.496 states/eV/f.u. For the density, the calculation gives 20.52 Mg/m³. For the calculated volume, the calculation gives 84.7 Å³ per cell. The formation energy is -0.04 eV per atom. As for the energy above the most stable polymorph in this dataset: 0.0 meV per atom.

The space group is P-62m (No. 189) and the conventional cell measures 4.7548, 4.7548 and 4.3271 Å, with angles of 90.00, 90.00 and 120.00 degrees. Symmetry generates all atoms from Mo at (0.0000, 0.0000, 0.0000), Os at (0.0000, 0.6626, 0.5000) and Os at (0.3333, 0.6667, 0.0000).

Entry 11:
Entry from Alexandria via LeMat-Bulk: an optimized crystal structure of MnAlPS2 (GGA-PBEsol).

As for the density of states at the Fermi level: 3.500 states/eV/f.u. For the density, the calculation gives 3.33 Mg/m³. For the calculated volume, the calculation gives 88.1 Å³ per cell. The value obtained for the formation energy from raw total energies is 1.17 eV per formula unit.

The space group is P4/mmm (No. 123) and the conventional cell measures 4.527, 4.527 and 4.301 Å, with angles of 90.00, 90.00 and 90.00 degrees. Symmetry generates all atoms from Mn at (0.000, 0.000, 0.000), Al at (0.500, 0.500, 0.500), P at (0.000, 0.000, 0.500) and S at (0.000, 0.500, 0.000).

Entry 12:
Entry from Alexandria via LeMat-Bulk: an optimized crystal structure of CaOsPt2 (GGA-PBEsol).

As for the density of states at the Fermi level: 3.794 states/eV/f.u. For the density, the calculation gives 15.34 Mg/m³. For the calculated volume, the calculation gives 268.7 Å³ per cell. The formation energy is 0.23 eV per atom. As for the energy above the most stable polymorph in this dataset: 307.7 meV per atom.

The space group is Fm-3m (No. 225) and the conventional cell measures 6.453, 6.453 and 6.453 Å, with angles of 90.00, 90.00 and 90.00 degrees. Symmetry generates all atoms from Ca at (0.000, 0.000, 0.000), Os at (0.000, 0.000, 0.500) and Pt at (0.250, 0.250, 0.250).